1.
{"formula": "SrBe2Ir", "functional": "PBEsol", "state": "optimized geometry", "ef_ev_per_atom": 0.032, "sg": "Pm, No. 6", "dos_at_fermi_per_ev_cell": 1.65, "cell": [[4.380, 0.000, 0.000], [0.000, 3.796, 0.000], [-0.161, 0.000, 4.782]], "species": ["Sr", "Be", "Be", "Ir"], "fractional_positions": [[0.000, 0.000, 0.000], [0.448, 0.000, 0.508], [0.705, 0.500, 0.486], [0.206, 0.500, 0.506]]}

---

2.
{"formula": "TaBeIr2", "functional": "PBEsol", "state": "optimized geometry", "ef_ev_per_atom": -0.558, "sg": "I4/mmm, No. 139", "dos_at_fermi_per_ev_cell": 1.01, "cell": [[-2.008, 2.008, 3.439], [2.008, -2.008, 3.439], [2.008, 2.008, -3.439]], "species": ["Ta", "Be", "Ir", "Ir"], "fractional_positions": [[0.000, 0.000, 0.000], [0.500, 0.500, 0.000], [0.250, 0.750, 0.500], [0.750, 0.250, 0.500]]}

---

3.
{"formula": "TaBeIr2", "functional": "PBEsol", "state": "optimized geometry", "ef_ev_per_atom": -0.424, "sg": "P4/mmm, No. 123", "dos_at_fermi_per_ev_cell": 1.71, "cell": [[4.000, 0.000, 0.000], [0.000, 4.000, 0.000], [0.000, 0.000, 3.465]], "species": ["Ta", "Be", "Ir", "Ir"], "fractional_positions": [[0.000, 0.000, 0.000], [0.500, 0.500, 0.000], [0.000, 0.500, 0.500], [0.500, 0.000, 0.500]]}